Entry 1:
Here is PrCoGe3 after structural relaxation from Alexandria. Energies are from GGA-PBEsol.

Output
**Calculated volume**: 89.2 Å³/cell
**Magnetic moment**: 0.00 Bohr magnetons per cell
**Space-group type**: I4mm
**DOS(E_F)**: 0.361 states/eV per atom
**Formation enthalpy at 0 K**: -0.644 eV per atom
**Total energy**: -30.957 eV per cell

Cell: 4.2740 4.2740 5.7410 Å, 111.85 111.85 90.00°
With the nearest neighbours (Å) after each atom.
Fractional coordinates of all 5 atoms:
Ge: 0.8350 0.3350 0.6701  2 Co 2.32
Ge: 0.3350 0.8350 0.6701  2 Co 2.32
Ge: 0.0109 0.0109 0.0217  1 Co 2.26
Co: 0.2425 0.2425 0.4850  5 Ge 2.26-2.32
Pr: 0.5777 0.5777 0.1554  12 Ge 3.09-3.30, 5 Co 3.27-3.42

Entry 2:
Here is ZrAs2Ir after structural relaxation from Alexandria. Energies are from GGA-PBEsol.

Output
**Calculated volume**: 68.6 Å³/cell
**Magnetic moment**: 0.00 Bohr magnetons per cell
**Space-group type**: P4mm
**DOS(E_F)**: 0.621 states/eV per atom
**Formation enthalpy at 0 K**: -0.539 eV per atom
**Energy above the lowest structure with this stoichiometry**: 0.000 eV per atom
**Total energy**: -31.281 eV per cell

Cell: 3.5224 3.5224 5.5263 Å, 90.00 90.00 90.00°
With the nearest neighbours (Å) after each atom.
Fractional coordinates of all 4 atoms:
Zr: 0.5000 0.5000 0.7905  6 As 2.67-2.82
As: 0.5000 0.5000 0.3011  4 Ir 2.61, 2 Zr 2.70-2.82
As: 0.0000 0.0000 0.9658  2 Ir 2.64-2.89, 4 Zr 2.67
Ir: 0.0000 0.0000 0.4426  6 As 2.61-2.89

Entry 3:
Here is TcHgF2 after structural relaxation from Alexandria. Energies are from GGA-PBEsol.

Output
**Calculated volume**: 58.6 Å³/cell
**Magnetic moment**: 1.38 Bohr magnetons per cell
**Space-group type**: R-3m
**Formation energy from raw total energies**: -67.5 kJ/mol of atoms
**DOS(E_F)**: 0.955 states/eV per atom
**Total energy**: -18.486 eV per cell

Cell: 2.7819 2.7819 8.8901 Å, 81.00 81.00 60.00°
With the nearest neighbours (Å) after each atom.
Fractional coordinates of all 4 atoms:
Tc: 0.5000 0.5000 0.5000  6 F 2.25
F: 0.1067 0.1067 0.6800  3 Tc 2.25
F: 0.8933 0.8933 0.3200  3 Tc 2.25
Hg: 0.0000 0.0000 0.0000  6 Hg 2.78, 2 F 2.80

Entry 4:
Here is CaZr2Te after structural relaxation from Alexandria. Energies are from GGA-PBEsol.

Output
**Calculated volume**: 92.0 Å³/cell
**Magnetic moment**: 1.51 Bohr magnetons per cell
**Space-group type**: F-43m
**Formation energy from raw total energies**: 0.4 kJ/mol of atoms
**DOS(E_F)**: 1.083 states/eV per atom
**Total energy**: -23.822 eV per cell

Cell: 5.0675 5.0675 5.0675 Å, 60.00 60.00 60.00°
With the nearest neighbours (Å) after each atom.
Fractional coordinates of all 4 atoms:
Zr: 0.0000 0.0000 0.0000  4 Zr 3.10, 4 Te 3.10
Zr: 0.7500 0.7500 0.7500  4 Zr 3.10, 4 Ca 3.10
Te: 0.2500 0.2500 0.2500  4 Zr 3.10, 4 Ca 3.10
Ca: 0.5000 0.5000 0.5000  4 Zr 3.10, 4 Te 3.10

Entry 5:
Here is NiSe2 after structural relaxation from Alexandria. Energies are from GGA-PBEsol.

Output
**Calculated volume**: 103.6 Å³/cell
**Magnetic moment**: 0.00 Bohr magnetons per cell
**Space-group type**: I4_1/amd
**Formation energy from raw total energies**: 10.2 kJ/mol of atoms
**DOS(E_F)**: 0.915 states/eV per atom
**Total energy**: -27.084 eV per cell

Cell: 2.8651 2.8651 12.7848 Å, 96.43 96.43 90.00°
With the nearest neighbours (Å) after each atom.
Fractional coordinates of all 6 atoms:
Se: 0.6864 0.1863 0.3727  4 Ni 2.59, 4 Se 2.87
Se: 0.5636 0.5636 0.1273  4 Ni 2.59, 4 Se 2.87
Se: 0.4364 0.4364 0.8727  4 Ni 2.59, 4 Se 2.87
Se: 0.8136 0.3136 0.6273  4 Ni 2.59, 4 Se 2.87
Ni: 0.2500 0.7500 0.5000  8 Se 2.59, 4 Ni 2.87
Ni: 0.0000 0.0000 0.0000  8 Se 2.59, 4 Ni 2.87

Entry 6:
Here is Ba2ReHg after structural relaxation from Alexandria. Energies are from GGA-PBEsol.

Output
**Calculated volume**: 106.0 Å³/cell
**Magnetic moment**: 1.32 Bohr magnetons per cell
**Space-group type**: F-43m
**DOS(E_F)**: 1.266 states/eV per atom
**Formation enthalpy at 0 K**: 0.856 eV per atom
**Total energy**: -14.774 eV per cell

Cell: 5.3119 5.3119 5.3119 Å, 60.00 60.00 60.00°
With the nearest neighbours (Å) after each atom.
Fractional coordinates of all 4 atoms:
Ba: 0.7500 0.7500 0.7500  4 Ba 3.25, 4 Hg 3.25
Ba: 0.0000 0.0000 0.0000  4 Re 3.25, 4 Ba 3.25
Re: 0.2500 0.2500 0.2500  4 Hg 3.25, 4 Ba 3.25
Hg: 0.5000 0.5000 0.5000  4 Ba 3.25, 4 Re 3.25

Entry 7:
Here is LiLa2Ag after structural relaxation from Alexandria. Energies are from GGA-PBEsol.

Output
**Calculated volume**: 106.2 Å³/cell
**Magnetic moment**: 0.00 Bohr magnetons per cell
**Space-group type**: Amm2
**DOS(E_F)**: 1.033 states/eV per atom
**Formation enthalpy at 0 K**: -0.032 eV per atom
**Energy above the lowest structure with this stoichiometry**: 0.027 eV per atom
**Total energy**: -16.098 eV per cell

Cell: 3.7140 4.7915 6.2523 Å, 90.00 107.28 90.00°
With the nearest neighbours (Å) after each atom.
Fractional coordinates of all 4 atoms:
Ag: 0.5640 0.5000 0.1281  2 Li 2.79
La: 0.2845 0.5000 0.5691  3 Ag 3.22-3.34, 4 Li 3.26
La: 0.9656 0.0000 0.9312  3 Li 3.20-3.36, 4 Ag 3.25
Li: 0.6841 0.0000 0.3682  2 Ag 2.79

Entry 8:
Here is LiIn3B after structural relaxation from Alexandria. Energies are from GGA-PBEsol.

Output
**Calculated volume**: 112.6 Å³/cell
**Magnetic moment**: 0.00 Bohr magnetons per cell
**Space-group type**: Pm-3m
**DOS(E_F)**: 0.529 states/eV per atom
**Formation enthalpy at 0 K**: 0.458 eV per atom
**Total energy**: -15.644 eV per cell

Cell: 4.8286 4.8286 4.8286 Å, 90.00 90.00 90.00°
With the nearest neighbours (Å) after each atom.
Fractional coordinates of all 5 atoms:
Li: 0.5000 0.5000 0.5000  12 In 3.41
B: 0.0000 0.0000 0.0000  6 In 2.41
In: 0.0000 0.0000 0.5000  2 B 2.41
In: 0.0000 0.5000 0.0000  2 B 2.41
In: 0.5000 0.0000 0.0000  2 B 2.41

Entry 9:
Here is Al2Rh after structural relaxation from Alexandria. Energies are from GGA-PBEsol.

Output
**Calculated volume**: 84.4 Å³/cell
**Magnetic moment**: 0.00 Bohr magnetons per cell
**Space-group type**: Fd-3m
**DOS(E_F)**: 0.287 states/eV per atom
**Formation enthalpy at 0 K**: -0.176 eV per atom
**Total energy**: -33.700 eV per cell

Cell: 4.9246 4.9246 4.9246 Å, 60.00 60.00 60.00°
With the nearest neighbours (Å) after each atom.
Fractional coordinates of all 6 atoms:
Rh: 0.7500 0.7500 0.7500  12 Al 2.89, 4 Rh 3.02
Rh: 0.5000 0.5000 0.5000  12 Al 2.89, 4 Rh 3.02
Al: 0.1250 0.6250 0.1250  6 Al 2.46
Al: 0.1250 0.1250 0.6250  6 Al 2.46
Al: 0.1250 0.1250 0.1250  6 Al 2.46
Al: 0.6250 0.1250 0.1250  6 Al 2.46

Entry 10:
Here is CrHgW2 after structural relaxation from Alexandria. Energies are from GGA-PBEsol.

Output
**Calculated volume**: 61.7 Å³/cell
**Magnetic moment**: 0.74 Bohr magnetons per cell
**Space-group type**: I-4m2
**DOS(E_F)**: 0.838 states/eV per atom
**Formation enthalpy at 0 K**: 0.657 eV per atom
**Total energy**: -35.797 eV per cell

Cell: 4.0045 4.0045 4.7787 Å, 114.77 114.77 90.00°
With the nearest neighbours (Å) after each atom.
Fractional coordinates of all 4 atoms:
W: 0.7500 0.2500 0.5000  4 Cr 2.78, 4 W 2.78, 4 Hg 2.83
W: 0.0000 0.0000 0.0000  4 W 2.78, 4 Hg 2.78, 4 Cr 2.83
Cr: 0.5000 0.5000 0.0000  4 Hg 2.78, 8 W 2.78-2.83
Hg: 0.2500 0.7500 0.5000  4 Cr 2.78, 8 W 2.78-2.83

- What is the DOS(E_F) in the tenth record?
  0.838 states/eV per atom

- Which value of calculated volume does entry 5 give?
  103.6 Å³/cell